# 1
DFT (PBE) results for a relaxed YPuPa crystal.

Output
spin magnetization: 5.8 μB per formula unit
energy above the most stable polymorph in this dataset: 0 meV per atom
formation energy from the elements: 0.136 eV/atom
calculated density: 11.56 g/cm³

Cell lengths 3.4255, 3.4255, 13.8119 Å; angles 90.00, 90.00, 90.00 degrees
With the nearest neighbours (Å) after each atom.
Space group I4mm (No. 107)
Unique sites:
Y (0.0000, 0.0000, 0.0000) [2 per cell]  4 Pa 3.38, 4 Y 3.43, 4 Pu 3.58
Pu (0.0000, 0.0000, 0.6912) [2 per cell]  4 Pa 3.09, 4 Pu 3.43
Pa (0.0000, 0.0000, 0.3298) [2 per cell]  4 Pu 3.09, 4 Y 3.38, 4 Pa 3.43

***

# 2
DFT (PBE) results for a relaxed YPuPa crystal.

Output
spin magnetization: 5.9 μB per formula unit
energy above the most stable polymorph in this dataset: 26 meV per atom
formation energy from the elements: 0.162 eV/atom
calculated density: 11.44 g/cm³

Cell lengths 3.4001, 3.4001, 8.1785 Å; angles 90.00, 90.00, 120.00 degrees
With the nearest neighbours (Å) after each atom.
Space group P3m1 (No. 156)
Unique sites:
Y (0.0000, 0.0000, 0.0000) [1 per cell]  3 Pa 3.38, 6 Y 3.40, 3 Pu 3.56
Pu (0.6667, 0.3333, 0.3636) [1 per cell]  3 Pa 3.14, 6 Pu 3.40
Pa (0.3333, 0.6667, 0.6637) [1 per cell]  3 Pu 3.14, 3 Y 3.38, 6 Pa 3.40

***

# 3
DFT (PBE) results for a relaxed YPu4Pa crystal.

Output
spin magnetization: 21.9 μB per formula unit
formation energy from the elements: 0.307 eV/atom
calculated density: 13.81 g/cm³

Cell lengths 8.5422, 8.5422, 8.5422 Å; angles 90.00, 90.00, 90.00 degrees
With the nearest neighbours (Å) after each atom.
Space group F-43m (No. 216)
Unique sites:
Y (0.0000, 0.0000, 0.0000) [4 per cell]  12 Pu 3.54, 4 Pa 3.70
Pu (0.1237, 0.1237, 0.3763) [16 per cell]  6 Pu 2.99-3.05
Pa (0.2500, 0.2500, 0.7500) [4 per cell]  12 Pu 3.54, 4 Y 3.70

***

# 4
DFT (PBE) results for a relaxed YPu2Pa crystal.

Output
spin magnetization: 11.5 μB per formula unit
energy above the most stable polymorph in this dataset: 698 meV per atom
formation energy from the elements: 0.817 eV/atom
calculated density: 11.17 g/cm³

Cell lengths 3.9206, 3.9206, 27.0593 Å; angles 90.00, 90.00, 120.00 degrees
With the nearest neighbours (Å) after each atom.
Space group R-3m (No. 166, hexagonal axes)
Unique sites:
Y (0.0000, 0.0000, 0.0000) [3 per cell]  2 Pu 3.06
Pu (0.0000, 0.0000, 0.1132) [6 per cell]  3 Pa 2.69
Pa (0.0000, 0.0000, 0.5000) [3 per cell]  6 Pu 2.69

***

# 5
DFT (PBE) results for a relaxed YPu2Pa crystal.

Output
spin magnetization: 10.9 μB per formula unit
energy above the most stable polymorph in this dataset: 0 meV per atom
formation energy from the elements: 0.119 eV/atom
calculated density: 12.77 g/cm³

Cell lengths 3.3529, 3.3529, 9.3462 Å; angles 90.00, 90.00, 90.00 degrees
With the nearest neighbours (Å) after each atom.
Space group P4/mmm (No. 123)
Unique sites:
Y (0.0000, 0.0000, 0.0000) [1 per cell]  4 Y 3.35, 8 Pu 3.52
Pu (0.5000, 0.5000, 0.2780) [2 per cell]  4 Pa 3.15, 4 Pu 3.35, 4 Y 3.52
Pa (0.0000, 0.0000, 0.5000) [1 per cell]  8 Pu 3.15, 4 Pa 3.35

***

# 6
DFT (PBE) results for a relaxed YPu2Pa crystal.

Output
spin magnetization: 11.5 μB per formula unit
energy above the most stable polymorph in this dataset: 144 meV per atom
formation energy from the elements: 0.263 eV/atom
calculated density: 12.68 g/cm³

Cell lengths 4.8182, 4.8182, 4.5587 Å; angles 90.00, 90.00, 90.00 degrees
With the nearest neighbours (Å) after each atom.
Space group P4/mmm (No. 123)
Unique sites:
Y (0.0000, 0.0000, 0.0000) [1 per cell]  8 Pu 3.32, 4 Pa 3.41
Pu (0.0000, 0.5000, 0.5000) [2 per cell]  4 Pa 3.32, 4 Y 3.32, 4 Pu 3.41
Pa (0.5000, 0.5000, 0.0000) [1 per cell]  8 Pu 3.32, 4 Y 3.41

***

# 7
DFT (PBE) results for a relaxed YPuPa crystal.

Output
spin magnetization: 5.3 μB per formula unit
energy above the most stable polymorph in this dataset: 176 meV per atom
formation energy from the elements: 0.313 eV/atom
calculated density: 10.94 g/cm³

Cell lengths 3.7786, 3.7786, 41.5321 Å; angles 90.00, 90.00, 120.00 degrees
With the nearest neighbours (Å) after each atom.
Space group R-3m (No. 166, hexagonal axes)
Unique sites:
Y (0.0000, 0.0000, 0.1330) [6 per cell]  3 Pu 3.46, 9 Y 3.55-3.78
Pu (0.0000, 0.0000, 0.2649) [6 per cell]  3 Pa 2.64
Pa (0.0000, 0.0000, 0.3661) [6 per cell]  3 Pu 2.64

***

# 8
DFT (PBE) results for a relaxed PuPa2Zn crystal.

Output
spin magnetization: 1.2 μB per formula unit
energy above the most stable polymorph in this dataset: 716 meV per atom
formation energy from the elements: 0.715 eV/atom
calculated density: 12.67 g/cm³

Cell lengths 3.5129, 3.5129, 28.3788 Å; angles 90.00, 90.00, 120.00 degrees
With the nearest neighbours (Å) after each atom.
Space group R-3m (No. 166, hexagonal axes)
Unique sites:
Pu (0.0000, 0.0000, 0.0000) [3 per cell]  6 Pa 2.65
Pa (0.0000, 0.0000, 0.3932) [6 per cell]  3 Pu 2.65
Zn (0.0000, 0.0000, 0.5000) [3 per cell]  2 Pa 3.03

***

# 9
DFT (PBE) results for a relaxed PuPaZn crystal.

Output
spin magnetization: 5.0 μB per formula unit
energy above the most stable polymorph in this dataset: 27 meV per atom
formation energy from the elements: 0.065 eV/atom
calculated density: 13.90 g/cm³

Cell lengths 3.6364, 6.2136, 6.4301 Å; angles 110.66, 90.07, 106.97 degrees
With the nearest neighbours (Å) after each atom.
Space group P-1 (No. 2)
Unique sites:
Pu (0.1424, 0.2865, 0.0843) [2 per cell]  3 Pa 2.68-2.91
Pa (0.1956, 0.3894, 0.6760) [2 per cell]  3 Pu 2.68-2.91
Zn (0.4801, 0.9604, 0.6925) [2 per cell]  1 Zn 2.68

***

# 10
DFT (PBE) results for a relaxed PuPa2Zn crystal.

Output
spin magnetization: 6.6 μB per formula unit
energy above the most stable polymorph in this dataset: 47 meV per atom
formation energy from the elements: 0.045 eV/atom
calculated density: 14.49 g/cm³

Cell lengths 7.0720, 7.0720, 7.0720 Å; angles 90.00, 90.00, 90.00 degrees
With the nearest neighbours (Å) after each atom.
Space group Fm-3m (No. 225)
Unique sites:
Pu (0.0000, 0.0000, 0.0000) [4 per cell]  8 Pa 3.06
Pa (0.2500, 0.2500, 0.2500) [8 per cell]  4 Pu 3.06, 4 Zn 3.06
Zn (0.0000, 0.0000, 0.5000) [4 per cell]  8 Pa 3.06

***

# 11
DFT (PBE) results for a relaxed PuPaZn17 crystal.

Output
spin magnetization: 6.3 μB per formula unit
formation energy from the elements: -0.129 eV/atom
calculated density: 8.57 g/cm³

Cell lengths 8.9848, 8.9848, 13.1939 Å; angles 90.00, 90.00, 120.00 degrees
With the nearest neighbours (Å) after each atom.
Space group R3m (No. 160, hexagonal axes)
Unique sites:
Pu (0.0000, 0.0000, 0.0000) [3 per cell]  19 Zn 3.14-3.44
Pa (0.0000, 0.0000, 0.6749) [3 per cell]  19 Zn 3.11-3.45
Zn (0.0000, 0.0000, 0.2377) [3 per cell]  13 Zn 2.66-2.97
Zn (0.0000, 0.0000, 0.4390) [3 per cell]  7 Zn 2.66-2.86
Zn (0.0002, 0.2962, 0.3375) [18 per cell]  8 Zn 2.58-2.77
Zn (0.9996, 0.4998, 0.8377) [9 per cell]  10 Zn 2.58-2.74
Zn (0.0098, 0.5049, 0.4890) [9 per cell]  8 Zn 2.56-2.77
Zn (0.1706, 0.3412, 0.5193) [9 per cell]  9 Zn 2.56-2.86

***

# 12
DFT (PBE) results for a relaxed PuPa3Zn8 crystal.

Output
spin magnetization: 6.4 μB per formula unit
formation energy from the elements: -0.116 eV/atom
calculated density: 10.77 g/cm³

Cell lengths 5.6249, 5.6249, 8.2177 Å; angles 90.00, 90.00, 120.00 degrees
With the nearest neighbours (Å) after each atom.
Space group P3m1 (No. 156)
Unique sites:
Pu (0.0000, 0.0000, 0.0000) [1 per cell]  1 Pa 2.70
Pa (0.0000, 0.0000, 0.3287) [1 per cell]  1 Pu 2.70
Pa (0.6667, 0.3333, 0.5042) [1 per cell]  1 Pa 2.75
Pa (0.6667, 0.3333, 0.8389) [1 per cell]  1 Pa 2.75
Zn (0.1614, 0.3227, 0.6675) [3 per cell]  6 Zn 2.64-2.90
Zn (0.3333, 0.6667, 0.4192) [1 per cell]  6 Zn 2.64
Zn (0.3333, 0.6667, 0.9173) [1 per cell]  6 Zn 2.65
Zn (0.5034, 0.0067, 0.1689) [3 per cell]  6 Zn 2.64-2.87

***

The evaluated calculated volume for the records listed, in turn: 27.01, 27.29, 25.97, 30.02, 26.27, 26.46, 28.53, 25.27, 21.52, 22.11, 16.18, 18.76 Å³ per atom.